(1)
## KSeIBr2 (PBE)

Data for crystalline KSeIBr2 at its relaxed geometry.

## Properties
uncorrected energy	-11.4	eV per cell
energy above the most stable polymorph in this dataset	0.2243	eV/atom
ΔE_f (raw)	-36.68	kJ per mole of atoms
V	38.49	Å³/atom

Unit cell a=5.937 b=5.937 c=5.461 alpha=90.00 beta=90.00 gamma=90.00
Fractional positions:
Br 0.500 0.000 0.000
Se 0.000 0.000 0.500
I 0.000 0.000 0.000
Br 0.000 0.500 0.000
K 0.500 0.500 0.500


(2)
## CsRbPb3 (PBE)

Data for crystalline CsRbPb3 at its relaxed geometry.

## Properties
uncorrected energy	-9.7	eV per cell
energy above the most stable polymorph in this dataset	0.6087	eV/atom
V	54.18	Å³/atom
energy of formation from the pure elements	0.66	eV/atom

Unit cell a=6.470 b=6.470 c=6.470 alpha=90.00 beta=90.00 gamma=90.00
Fractional positions:
Rb 0.000 0.000 0.000
Cs 0.500 0.500 0.500
Pb 0.500 0.000 0.000
Pb 0.000 0.000 0.500
Pb 0.000 0.500 0.000


V of number 2 (CsRbPb3)? 54.18 Å³/atom


Copy entry 2 word for word.
## CsRbPb3 (PBE)

Data for crystalline CsRbPb3 at its relaxed geometry.

## Properties
uncorrected energy	-9.7	eV per cell
energy above the most stable polymorph in this dataset	0.6087	eV/atom
V	54.18	Å³/atom
energy of formation from the pure elements	0.66	eV/atom

Unit cell a=6.470 b=6.470 c=6.470 alpha=90.00 beta=90.00 gamma=90.00
Fractional positions:
Rb 0.000 0.000 0.000
Cs 0.500 0.500 0.500
Pb 0.500 0.000 0.000
Pb 0.000 0.000 0.500
Pb 0.000 0.500 0.000